The following is a GGA-PBE calculation of an optimized crystal structure of In2CoSb, from Alexandria via LeMat-Bulk.

Unit cell a=4.6564 b=10.7543 c=4.0478 alpha=90.00 beta=90.00 gamma=90.00
Closest atoms and distances in Å follow each position.
Space group Cmmm (No. 65)
One atom of each set of equivalent atoms:
In1 0.0000 0.1572 0.0000 (multiplicity 4)  2 Co 2.64
Co1 0.0000 0.0000 0.5000 (multiplicity 2)  2 Sb 2.33
Sb1 0.0000 0.5000 0.5000 (multiplicity 2)  2 Co 2.33

Output
Magnetization (μB per cell): 0.0
Final energy (eV per cell): -32.070
Theoretical density (kg/m³): 6723
V (Å³ per cell): 203